DFT (PBE) results for a geometry-optimized PrAlPd structure.

Cell lengths 4.284, 7.257, 7.257 Å; angles 120.00, 90.00, 90.00 degrees
Fractional positions:
Pr: 0.500 0.420 0.420
Pr: 0.500 0.000 0.580
Pr: 0.500 0.580 0.000
Al: 0.000 0.772 0.772
Al: 0.000 0.000 0.228
Al: 0.000 0.228 0.000
Pd: 0.000 0.667 0.333
Pd: 0.500 0.000 0.000
Pd: 0.000 0.333 0.667

Magnetic moment in μB per formula unit: 0.0
Formation energy in eV per atom: -0.7826
Fermi-level density of states in states/eV per atom: 0.806